Compound: Ni3SnF
Source: the Alexandria database
Functional: GGA+U
Structure: relaxed

Cell: 4.197 4.197 4.197 Å, 90.00 90.00 90.00°
Fractional positions:
Ni (0.000, 0.500, 0.000)
Ni (0.000, 0.000, 0.500)
Ni (0.500, 0.000, 0.000)
Sn (0.500, 0.500, 0.500)
F (0.000, 0.000, 0.000)

Output
Its space-group type is Pm-3m (221). Its density of states at the Fermi level is 1.4 states/eV/f.u. The magnetic moment comes out at 3.1 Bohr magnetons per cell. The calculated total energy comes out at -2.6671 eV/atom.